This record from Alexandria via LeMat-Bulk describes crystalline CsCaCdF6 at its relaxed geometry. The functional is PBE.

abc: 7.7754 8.1235 10.7584
angles: 90.00 90.00 90.00
Last column: nearest neighbours and their distance in Å.
Space group Imma (No. 74)
Inequivalent atoms, fractional coordinates:
Cs1 0.0000 0.2500 0.1370 (multiplicity 4)  5 F 3.04-3.05
Ca1 0.2500 0.2500 0.7500 (multiplicity 4)  6 F 2.24-2.48
Cd1 0.0000 0.0000 0.5000 (multiplicity 4)  6 F 2.15-2.22
F1 0.0000 0.2500 0.5835 (multiplicity 4)  2 Cd 2.22
F2 0.0000 0.2500 0.8541 (multiplicity 4)  2 Ca 2.24
F3 0.1952 0.0135 0.3593 (multiplicity 16)  1 Cd 2.15

Raw total energy (eV for the cell shown): -154.891